The following is a DFT calculation (GGA-PBE) of Mg3SnIr after structural relaxation.

a b c (Å): 6.6108 6.6108 7.0516
angles (deg): 119.93 119.93 75.67
With the nearest neighbours (Å) after each atom.
Fractional positions:
Mg: 0.0487 0.0487 0.2440  2 Ir 2.62-2.79, 1 Mg 2.91
Mg: 0.0809 0.4528 0.8208  2 Ir 2.61-2.71
Mg: 0.4528 0.0809 0.8208  2 Ir 2.61-2.71
Mg: 0.5472 0.9191 0.1792  2 Ir 2.61-2.71
Mg: 0.9191 0.5472 0.1792  2 Ir 2.61-2.71
Mg: 0.9513 0.9513 0.7560  2 Ir 2.62-2.79, 1 Mg 2.91
Sn: 0.4126 0.4126 0.6203  2 Ir 2.64-2.70, 1 Mg 2.96
Sn: 0.5874 0.5874 0.3797  2 Ir 2.64-2.70, 1 Mg 2.96
Ir: 0.2655 0.2655 0.1390  6 Mg 2.61-2.79, 2 Sn 2.64-2.70
Ir: 0.7345 0.7345 0.8610  6 Mg 2.61-2.79, 2 Sn 2.64-2.70

Calculated values
N(E_F)	0.38	states/eV/atom
SG	C2/m (12)
mass density	5508	kg/m3
calculated volume	23.146	Å³/atom
formation energy	-0.21	eV/atom
total energy	-18.700	eV per formula unit